22
Lattice="10.0706 -0.0098 -0.0027 4.1785 9.1628 0.0027 -5.7853 -6.6615 4.8551" Properties=species:S:1:pos:R:3 comment="PBE Nb6Sn5, optimized geometry" spacegroup=Immm rho_g_cm3=8.53 formation_enthalpy_0k_kj_per_mol_atoms=-16.06 pbc="T T T"
Nb 9.3254 5.9902 0.0000
Nb 4.9237 3.1628 0.0000
Nb -1.2205 1.9000 3.6901
Nb -0.3863 0.6013 1.1678
Nb 5.0353 -0.0049 -0.0014
Nb 2.0893 4.5814 0.0014
Nb -2.8926 -3.3307 2.4276
Nb 4.2319 1.2458 2.4276
Nb 6.1129 3.5286 3.5436
Nb 4.1441 6.5935 1.3143
Nb 4.3197 -4.1019 3.5408
Nb 2.3510 -1.0370 1.3115
Sn 11.8564 7.6160 0.0000
Sn 2.3927 1.5370 0.0000
Sn 3.4003 3.9509 2.4289
Sn 5.0635 -1.4594 2.4262
Sn 6.7319 5.1877 1.1871
Sn 1.7319 -2.6962 3.6681
Sn 1.5033 0.9101 3.3672
Sn 9.9166 3.4803 1.4879
Sn -1.4528 -0.9888 3.3672
Sn 6.9605 1.5814 1.4879